Density functional theory data (GGA-PBE) for crystalline P2AuS2 at its relaxed geometry.

The structure in POSCAR format:
```
P2AuS2
1.0
4.580 0.000 0.000
0.000 4.580 0.000
0.000 0.000 4.438
P Au S
2 1 2
Cartesian
0.000 2.290 0.000
2.290 0.000 0.000
0.000 0.000 2.219
2.290 2.290 0.000
2.290 2.290 2.219
```

As for the space group: P4/mmm.

Density functional theory data (GGA-PBE) for crystalline PmSc2Sb at its relaxed geometry.

The structure in POSCAR format:
```
PmSc2Sb
1.0
2.031 -5.934 0.000
2.031 5.934 0.000
0.000 0.000 8.889
Pm Sc Sb
2 4 2
Cartesian
2.031 5.322 6.667
2.031 -5.322 2.222
2.031 1.633 4.843
2.031 1.633 8.491
2.031 -1.633 0.398
2.031 -1.633 4.047
2.031 3.134 2.222
2.031 -3.134 6.667
```

As for the space group: Cmcm.

Density functional theory data (GGA-PBE) for crystalline Sb5C3 at its relaxed geometry.

The structure in POSCAR format:
```
Sb5C3
1.0
3.240 0.000 0.000
0.000 3.240 0.000
0.000 0.000 15.065
Sb C
5 3
Cartesian
0.000 0.000 0.000
0.000 0.000 3.122
0.000 0.000 11.943
1.620 1.620 6.044
1.620 1.620 9.021
0.000 0.000 7.533
1.620 1.620 3.748
1.620 1.620 11.317
```

As for the space group: P4/mmm.

Density functional theory data (GGA-PBE) for crystalline Na3VSb at its relaxed geometry.

The structure in POSCAR format:
```
Na3VSb
1.0
5.860 0.000 0.000
0.000 5.860 0.000
0.000 0.000 5.860
Na V Sb
3 1 1
Cartesian
0.000 0.000 2.930
0.000 2.930 0.000
2.930 0.000 0.000
2.930 2.930 2.930
0.000 0.000 0.000
```

As for the space group: Pm-3m.

no.,raw formation energy (eV per atom),total magnetization (μB per cell)
1,1.02,0.003
2,-0.56,0.702
3,1.36,0.000
4,0.68,4.865